An optimized crystal structure of Cd2MoRu, computed with PBE.

a b c (Å): 2.801 4.760 5.353
angles (deg): 90.00 102.89 90.00
Space group P2/m (No. 10)
Inequivalent atoms, fractional coordinates:
Cd 0.203 0.000 0.255 (multiplicity 2)
Mo 0.500 0.500 0.000 (multiplicity 1)
Ru 0.000 0.500 0.500 (multiplicity 1)

For the calculated formation energy, the calculation gives 0.49 eV per atom. The relative energy among the computed polymorphs is 0.373 eV/atom.

***

An optimized crystal structure of Ho2Ag5F12, computed with PBE.

a b c (Å): 10.835 6.890 8.990
angles (deg): 90.00 96.08 90.00
Space group C2/m (No. 12)
Inequivalent atoms, fractional coordinates:
Ho 0.000 0.247 0.000 (multiplicity 4)
Ag 0.000 0.000 0.500 (multiplicity 2)
Ag 0.193 0.500 0.375 (multiplicity 4)
Ag 0.233 0.500 0.691 (multiplicity 4)
F 0.091 0.500 0.907 (multiplicity 4)
F 0.094 0.000 0.911 (multiplicity 4)
F 0.130 0.238 0.571 (multiplicity 8)
F 0.135 0.243 0.193 (multiplicity 8)

The calculation puts the energy relative to the elements, uncorrected at -2.276 eV per atom.

***

Number 1: spin magnetization 0.745 μB per formula unit, raw total energy -20.0 eV per cell. Number 2: spin magnetization 0.000 μB per formula unit, raw total energy -178.2 eV per cell.